Record 1
Crystalline Tl2Ga2Cl7 at its relaxed geometry, computed with PBE.

Values from the calculation:
Formation energy (no corrections)   -1.00 eV per atom
DFT total energy   -0.116 hartree per atom
Density of states at the Fermi level   3.98 states/eV/f.u.

Cell: 6.4761 15.7895 8.0092 Å, 90.00 97.12 90.00°
Last column: nearest neighbours and their distance in Å.
Space group P2_1/c (No. 14)
Asymmetric unit:
Tl (0.1187, 0.1484, 0.4038) (multiplicity 4)  6 Cl 3.21-3.32
Ga (0.3535, 0.6119, 0.6532) (multiplicity 4)  4 Cl 2.27-2.41
Cl (0.1003, 0.6811, 0.4845) (multiplicity 4)  1 Ga 2.27
Cl (0.2136, 0.5574, 0.8775) (multiplicity 4)  1 Ga 2.28
Cl (0.4024, 0.2077, 0.7412) (multiplicity 4)  1 Ga 2.27
Cl (0.5000, 0.0000, 0.0000) (multiplicity 2)  2 Ga 2.41

Record 2
Crystalline Tl3GaCl6 at its relaxed geometry, computed with PBE.

Values from the calculation:
Formation energy (no corrections)   -1.04 eV per atom
DFT total energy   -0.116 hartree per atom
Density of states at the Fermi level   0.00 states/eV/f.u.

Cell: 7.2007 7.9880 12.6360 Å, 90.00 122.78 90.00°
Last column: nearest neighbours and their distance in Å.
Space group P2_1/c (No. 14)
Asymmetric unit:
Tl (0.0000, 0.0000, 0.0000) (multiplicity 2)  6 Cl 3.15-3.21
Tl (0.2138, 0.0674, 0.7399) (multiplicity 4)  6 Cl 3.21-3.43
Ga (0.5000, 0.0000, 0.5000) (multiplicity 2)  6 Cl 2.41
Cl (0.1893, 0.1601, 0.4677) (multiplicity 4)  1 Ga 2.41
Cl (0.2805, 0.7479, 0.4384) (multiplicity 4)  1 Ga 2.41
Cl (0.3842, 0.0475, 0.2844) (multiplicity 4)  1 Ga 2.41

- What is the DFT total energy in the first record?
  -0.116 hartree per atom